# 1
Here is a relaxed CsGa2SnF8 crystal from the Alexandria database. Energies are from GGA-PBE.

Computed properties:
Crystal system: trigonal
Raw total energy: -4.5085 eV/atom
Formation energy without anion corrections: -2.352 eV per atom

Cell: 8.8997 8.8997 8.8997 Å, 38.55 38.55 38.55°
Fractional coordinates of all 12 atoms:
1 Cs 0.0000 0.0000 0.0000
2 Ga 0.2481 0.2481 0.2481
3 Ga 0.7519 0.7519 0.7519
4 Sn 0.5000 0.5000 0.5000
5 F 0.0807 0.4761 0.7682
6 F 0.2318 0.9193 0.5239
7 F 0.3220 0.3220 0.3220
8 F 0.4761 0.7682 0.0807
9 F 0.5239 0.2318 0.9193
10 F 0.6780 0.6780 0.6780
11 F 0.7682 0.0807 0.4761
12 F 0.9193 0.5239 0.2318

=====

# 2
Here is a relaxed CsSrGa2F8 crystal from the Alexandria database. Energies are from GGA-PBE.

Computed properties:
Crystal system: trigonal
Raw total energy: -4.7342 eV/atom
Formation energy without anion corrections: -2.771 eV per atom

Cell: 5.8120 5.8120 9.2040 Å, 90.00 90.00 120.00°
Fractional coordinates of all 12 atoms:
1 Cs 0.0000 0.0000 0.0000
2 Sr 0.0000 0.0000 0.5000
3 Ga 0.3333 0.6667 0.7388
4 Ga 0.6667 0.3333 0.2612
5 F 0.0546 0.3396 0.6756
6 F 0.2850 0.9454 0.6756
7 F 0.3333 0.6667 0.9373
8 F 0.3396 0.2850 0.3244
9 F 0.6604 0.7150 0.6756
10 F 0.6667 0.3333 0.0627
11 F 0.7150 0.0546 0.3244
12 F 0.9454 0.6604 0.3244

=====

# 3
Here is a relaxed CsSr2GaF8 crystal from the Alexandria database. Energies are from GGA-PBE.

Computed properties:
Crystal system: triclinic
Raw total energy: -5.1290 eV/atom
Formation energy without anion corrections: -3.278 eV per atom

Cell: 5.3034 5.4867 7.6065 Å, 71.89 86.68 79.32°
Fractional coordinates of all 12 atoms:
1 Cs 0.0000 0.0000 0.0000
2 Sr 0.4703 0.3827 0.2751
3 Sr 0.5297 0.6173 0.7249
4 Ga 0.0000 0.0000 0.5000
5 F 0.0164 0.2852 0.2765
6 F 0.2480 0.7449 0.4146
7 F 0.2789 0.0838 0.5996
8 F 0.4477 0.2775 0.9916
9 F 0.5523 0.7225 0.0084
10 F 0.7211 0.9162 0.4004
11 F 0.7520 0.2551 0.5854
12 F 0.9836 0.7148 0.7235